Material: La2SiSe
Method: DFT, PBEsol
State: relaxed Values from VASP.

```
&SYSTEM
  ibrav = 0, nat = 4, ntyp = 3
/
ATOMIC_SPECIES
Si 28.09 Si.upf
Se 78.96 Se.upf
La 138.91 La.upf
CELL_PARAMETERS angstrom
4.294 0.000 0.000
0.000 4.294 0.000
0.000 0.000 6.068
ATOMIC_POSITIONS crystal
Si 0.500 0.500 0.500
Se 0.000 0.000 0.000
La 0.000 0.000 0.500
La 0.500 0.500 0.000
```

Values from the calculation:
The value obtained for the energy above the most stable polymorph in this dataset is 0.00 eV/f.u. The density comes out at 5.71 g/cm³.

***

Material: LaSnSe3
Method: DFT, PBEsol
State: relaxed Values from VASP.

```
&SYSTEM
  ibrav = 0, nat = 5, ntyp = 3
/
ATOMIC_SPECIES
Sn 118.71 Sn.upf
Se 78.96 Se.upf
La 138.91 La.upf
CELL_PARAMETERS angstrom
-2.631 -2.934 -3.366
4.011 -3.269 -0.286
-1.962 -2.750 3.930
ATOMIC_POSITIONS crystal
Sn 0.000 0.000 0.000
Se 0.000 0.500 0.000
Se 0.000 0.000 0.500
Se 0.500 0.000 0.000
La 0.500 0.500 0.500
```

Values from the calculation:
The value obtained for the total energy is -4.9413 eV/atom. The density comes out at 5.90 g/cm³.

***

Material: Sr2LaSe
Method: DFT, PBEsol
State: relaxed Values from VASP.

```
&SYSTEM
  ibrav = 0, nat = 4, ntyp = 3
/
ATOMIC_SPECIES
La 138.91 La.upf
Se 78.96 Se.upf
Sr 87.62 Sr.upf
CELL_PARAMETERS angstrom
4.039 0.000 0.000
0.000 6.022 -0.050
0.000 -2.958 6.523
ATOMIC_POSITIONS crystal
La 0.500 0.000 0.500
Se 0.500 0.500 0.500
Sr 0.000 0.330 0.160
Sr 0.000 0.670 0.840
```

Values from the calculation:
The value obtained for the total energy is -3.9412 eV/atom. The density comes out at 4.13 g/cm³.

***

Material: Sr3LaSe
Method: DFT, PBEsol
State: relaxed Values from VASP.

```
&SYSTEM
  ibrav = 0, nat = 5, ntyp = 3
/
ATOMIC_SPECIES
Sr 87.62 Sr.upf
Se 78.96 Se.upf
La 138.91 La.upf
CELL_PARAMETERS angstrom
-3.271 -4.810 1.045
4.716 -3.422 -0.991
1.411 0.286 5.732
ATOMIC_POSITIONS crystal
Sr 0.000 0.500 0.000
Sr 0.000 0.000 0.500
Sr 0.500 0.000 0.000
Se 0.500 0.500 0.500
La 0.000 0.000 0.000
```

Values from the calculation:
The value obtained for the total energy is -2.2610 eV/atom. The density comes out at 3.87 g/cm³.

***

Material: SrLa2Se
Method: DFT, PBEsol
State: relaxed Values from VASP.

```
&SYSTEM
  ibrav = 0, nat = 4, ntyp = 3
/
ATOMIC_SPECIES
La 138.91 La.upf
Se 78.96 Se.upf
Sr 87.62 Sr.upf
CELL_PARAMETERS angstrom
3.822 0.000 0.000
0.000 5.731 0.065
0.000 -2.065 5.346
ATOMIC_POSITIONS crystal
La 0.000 0.500 0.000
La 0.000 0.000 0.500
Se 0.500 0.000 0.000
Sr 0.500 0.500 0.500
```

Values from the calculation:
The value obtained for the total energy is -4.5500 eV/atom. The density comes out at 6.27 g/cm³.

***

Material: Sr2LaSe
Method: DFT, PBEsol
State: relaxed Values from VASP.

```
&SYSTEM
  ibrav = 0, nat = 4, ntyp = 3
/
ATOMIC_SPECIES
La 138.91 La.upf
Se 78.96 Se.upf
Sr 87.62 Sr.upf
CELL_PARAMETERS angstrom
-3.732 -0.069 -0.546
0.071 -3.771 -0.012
-1.480 -0.061 10.120
ATOMIC_POSITIONS crystal
La 0.000 0.000 0.578
Se 0.500 0.500 0.738
Sr 0.000 0.000 0.927
Sr 0.500 0.500 0.257
```

Values from the calculation:
The value obtained for the total energy is -3.9815 eV/atom. The density comes out at 4.49 g/cm³.

***

Material: LaTaSe3
Method: DFT, PBEsol
State: relaxed Values from VASP.

```
&SYSTEM
  ibrav = 0, nat = 5, ntyp = 3
/
ATOMIC_SPECIES
La 138.91 La.upf
Se 78.96 Se.upf
Ta 180.95 Ta.upf
CELL_PARAMETERS angstrom
4.961 0.000 0.000
0.000 4.961 0.000
0.000 0.000 4.961
ATOMIC_POSITIONS crystal
La 0.500 0.500 0.500
Se 0.000 0.500 0.000
Se 0.000 0.000 0.500
Se 0.500 0.000 0.000
Ta 0.000 0.000 0.000
```

Values from the calculation:
The value obtained for the total energy is -6.8293 eV/atom. The density comes out at 7.57 g/cm³.

***

Material: LaTaSe
Method: DFT, PBEsol
State: relaxed Values from VASP.

```
&SYSTEM
  ibrav = 0, nat = 3, ntyp = 3
/
ATOMIC_SPECIES
La 138.91 La.upf
Se 78.96 Se.upf
Ta 180.95 Ta.upf
CELL_PARAMETERS angstrom
-0.897 0.539 -3.916
0.257 -4.390 -0.663
-3.878 1.853 1.144
ATOMIC_POSITIONS crystal
La 0.000 0.000 0.000
Se 0.500 0.333 0.667
Ta 0.500 0.667 0.333
```

Values from the calculation:
The value obtained for the energy above the most stable polymorph in this dataset is 0.67 eV/f.u. The density comes out at 9.54 g/cm³.